1.
YMgBr: optimized geometry, PBE.

Computed properties:
The formation energy from raw total energies comes out at 51 meV per atom.

Cell lengths 5.1999, 5.1999, 5.1999 Å; angles 60.00, 60.00, 60.00 degrees
Last column: nearest neighbours and their distance in Å.
Atoms (fractional coordinates):
Y: 0.0000 0.0000 0.0000  4 Br 3.18, 4 Mg 3.18
Mg: 0.7500 0.7500 0.7500  4 Y 3.18
Br: 0.2500 0.2500 0.2500  4 Y 3.18



2.
Y2MgBr: optimized geometry, PBE.

Computed properties:
The formation energy from raw total energies comes out at -385 meV per atom. The calculation puts the distance to the lowest polymorph of the same formula at 131.4 meV per atom.

Cell lengths 6.7713, 6.7713, 5.4342 Å; angles 113.60, 113.60, 29.81 degrees
Last column: nearest neighbours and their distance in Å.
Atoms (fractional coordinates):
Y: 0.0000 0.0000 0.0000  4 Br 3.27-3.28, 4 Y 3.46-3.48, 2 Mg 3.65-3.66
Y: 0.2488 0.2488 0.7488  2 Br 2.98, 4 Mg 3.27
Mg: 0.7950 0.7950 0.2947  6 Y 3.27-3.66, 2 Br 3.45, 2 Mg 3.48
Br: 0.5453 0.5453 0.5459  6 Y 2.98-3.28



3.
YMgBr2: optimized geometry, PBE.

Computed properties:
The formation energy from raw total energies comes out at -946 meV per atom. The calculation puts the distance to the lowest polymorph of the same formula at 54.8 meV per atom.

Cell lengths 5.5225, 5.5225, 7.4046 Å; angles 104.94, 104.94, 38.80 degrees
Last column: nearest neighbours and their distance in Å.
Atoms (fractional coordinates):
Y: 0.0000 0.0000 0.0000  5 Br 2.91-2.99
Mg: 0.3966 0.3966 0.6211  1 Br 2.87
Br: 0.5117 0.5117 0.3101  1 Mg 2.87, 2 Y 2.92
Br: 0.7058 0.7058 0.9526  3 Y 2.91-2.99



4.
YMgBr: optimized geometry, PBE.

Computed properties:
The formation energy from raw total energies comes out at -655 meV per atom.

Cell lengths 3.6644, 3.6644, 7.4626 Å; angles 90.00, 90.00, 120.00 degrees
Last column: nearest neighbours and their distance in Å.
Atoms (fractional coordinates):
Y: 0.0000 0.0000 0.0000  3 Br 2.96, 3 Mg 3.28
Mg: 0.6667 0.3333 0.6640  3 Y 3.28, 3 Br 3.58, 6 Mg 3.66
Br: 0.3333 0.6667 0.2772  3 Y 2.96



5.
YMgBr2: optimized geometry, PBE.

Computed properties:
The formation energy from raw total energies comes out at -915 meV per atom. The calculation puts the distance to the lowest polymorph of the same formula at 86.1 meV per atom.

Cell lengths 8.0250, 8.0250, 8.0250 Å; angles 153.44, 137.51, 50.81 degrees
Last column: nearest neighbours and their distance in Å.
Atoms (fractional coordinates):
Y: 0.0000 0.0000 0.0000  4 Br 2.84
Mg: 0.5000 0.5000 0.0000  4 Y 3.44, 4 Br 3.63, 2 Mg 3.69
Br: 0.1493 0.6493 0.5000  2 Y 2.84
Br: 0.8507 0.3507 0.5000  2 Y 2.84



6.
Y2MgBr: optimized geometry, PBE.

Computed properties:
The formation energy from raw total energies comes out at -216 meV per atom. The calculation puts the distance to the lowest polymorph of the same formula at 300.8 meV per atom.

Cell lengths 5.3880, 5.3880, 5.3880 Å; angles 60.00, 60.00, 60.00 degrees
Last column: nearest neighbours and their distance in Å.
Atoms (fractional coordinates):
Y: 0.2500 0.2500 0.2500  4 Br 3.30, 4 Mg 3.30
Y: 0.7500 0.7500 0.7500  4 Mg 3.30, 4 Br 3.30
Mg: 0.0000 0.0000 0.0000  8 Y 3.30
Br: 0.5000 0.5000 0.5000  8 Y 3.30